Entry 1:
# Pm7Nd3Ho2

A relaxed Pm7Nd3Ho2 crystal (GGA-PBE, Alexandria).

Summary:
Polymorph energy (0 for the lowest one): 0.0 kJ/mol of atoms
E_form: 0.0867 eV/atom

Lattice parameters (Å, degrees): 5.946 3.622 19.179 90.00 93.15 90.00
Fractional positions:
Pm: 0.000 0.000 0.000
Pm: 0.189 0.500 0.181
Pm: 0.257 0.500 0.536
Pm: 0.313 0.000 0.855
Pm: 0.687 0.000 0.145
Pm: 0.743 0.500 0.464
Pm: 0.811 0.500 0.819
Nd: 0.220 0.000 0.366
Nd: 0.500 0.500 0.000
Nd: 0.780 0.000 0.634
Ho: 0.289 0.500 0.705
Ho: 0.711 0.500 0.295

Entry 2:
# Ca2BeRu

A relaxed Ca2BeRu crystal (GGA-PBE, Alexandria).

Summary:
E_form: 0.0037 eV/atom

Lattice parameters (Å, degrees): 3.268 3.268 8.071 90.00 90.00 90.00
Fractional positions:
Ca: 0.000 0.000 0.000
Ca: 0.500 0.500 0.413
Be: 0.500 0.500 0.739
Ru: 0.000 0.000 0.670

Entry 3:
# Ca3Pm5Se8

A relaxed Ca3Pm5Se8 crystal (GGA-PBE, Alexandria).

Summary:
Formation energy (no corrections): -1.886 eV/atom

Lattice parameters (Å, degrees): 8.423 8.423 8.423 59.50 59.50 59.50
Fractional positions:
Ca: 0.000 0.500 0.500
Ca: 0.500 0.000 0.500
Ca: 0.500 0.500 0.000
Pm: 0.000 0.000 0.000
Pm: 0.000 0.000 0.500
Pm: 0.000 0.500 0.000
Pm: 0.500 0.000 0.000
Pm: 0.500 0.500 0.500
Se: 0.250 0.250 0.746
Se: 0.250 0.746 0.250
Se: 0.251 0.251 0.251
Se: 0.254 0.750 0.750
Se: 0.746 0.250 0.250
Se: 0.749 0.749 0.749
Se: 0.750 0.254 0.750
Se: 0.750 0.750 0.254

Entry 4:
# Rb2ZrSnS5

A relaxed Rb2ZrSnS5 crystal (GGA-PBE, Alexandria).

Summary:
Formation energy (no corrections): -1.095 eV/atom

Lattice parameters (Å, degrees): 9.913 9.913 14.460 90.00 90.00 157.31
Fractional positions:
Rb: 0.118 0.882 0.500
Rb: 0.137 0.863 0.142
Rb: 0.863 0.137 0.642
Rb: 0.882 0.118 0.000
Zr: 0.217 0.783 0.857
Zr: 0.783 0.217 0.357
Sn: 0.436 0.564 0.254
Sn: 0.564 0.436 0.754
S: 0.057 0.943 0.862
S: 0.294 0.706 0.469
S: 0.311 0.689 0.228
S: 0.335 0.665 0.826
S: 0.497 0.503 0.116
S: 0.503 0.497 0.616
S: 0.665 0.335 0.326
S: 0.689 0.311 0.728
S: 0.706 0.294 0.969
S: 0.943 0.057 0.362

Entry 5:
# Ho12Ga6Tc

A relaxed Ho12Ga6Tc crystal (GGA-PBE, Alexandria).

Summary:
E_form: -0.1622 eV/atom

Lattice parameters (Å, degrees): 8.341 8.341 8.341 99.21 99.21 99.21
Fractional positions:
Ho: 0.036 0.933 0.682
Ho: 0.067 0.318 0.964
Ho: 0.182 0.568 0.429
Ho: 0.318 0.964 0.067
Ho: 0.429 0.182 0.568
Ho: 0.432 0.571 0.818
Ho: 0.568 0.429 0.182
Ho: 0.571 0.818 0.432
Ho: 0.682 0.036 0.933
Ho: 0.818 0.432 0.571
Ho: 0.933 0.682 0.036
Ho: 0.964 0.067 0.318
Ga: 0.136 0.304 0.624
Ga: 0.304 0.624 0.136
Ga: 0.376 0.864 0.696
Ga: 0.624 0.136 0.304
Ga: 0.696 0.376 0.864
Ga: 0.864 0.696 0.376
Tc: 0.000 0.000 0.000

Entry 6:
# CoNiP2

A relaxed CoNiP2 crystal (GGA-PBE, Alexandria).

Summary:
Polymorph energy (0 for the lowest one): 13.0 kJ/mol of atoms
E_form: -0.2095 eV/atom

Lattice parameters (Å, degrees): 7.739 3.075 4.232 90.00 105.26 90.00
Fractional positions:
Co: 0.000 0.000 0.000
Co: 0.500 0.500 0.000
Ni: 0.215 0.000 0.651
Ni: 0.715 0.500 0.651
P: 0.225 0.500 0.117
P: 0.487 0.000 0.578
P: 0.725 0.000 0.117
P: 0.987 0.500 0.578